# 1
Computed, not measured: a geometry-optimized HgBiMo2 structure at the PBE-GGA level of DFT.

electronic total energy	-5.605	eV per atom

a = 6.8725 Å, b = 6.8725 Å, c = 6.8725 Å
α = 90.00°, β = 90.00°, γ = 90.00°
With the nearest neighbours (Å) after each atom.
Space group F-43m (No. 216)
Inequivalent atoms, fractional coordinates:
Hg (0.0000, 0.0000, 0.0000) [4 per cell]  4 Mo 2.98, 4 Bi 2.98
Bi (0.2500, 0.2500, 0.7500) [4 per cell]  4 Hg 2.98, 4 Mo 2.98
Mo (0.0000, 0.0000, 0.5000) [4 per cell]  4 Mo 2.98, 4 Bi 2.98
Mo (0.2500, 0.2500, 0.2500) [4 per cell]  4 Hg 2.98, 4 Mo 2.98

---

# 2
Computed, not measured: a geometry-optimized YHfSi structure at the PBE-GGA level of DFT.

electronic total energy	-7.546	eV per atom

a = 6.5543 Å, b = 6.5543 Å, c = 6.5543 Å
α = 90.00°, β = 90.00°, γ = 90.00°
With the nearest neighbours (Å) after each atom.
Space group F-43m (No. 216)
Inequivalent atoms, fractional coordinates:
Y (0.0000, 0.0000, 0.0000) [4 per cell]  4 Si 2.84
Hf (0.0000, 0.0000, 0.5000) [4 per cell]  4 Si 2.84
Si (0.2500, 0.2500, 0.7500) [4 per cell]  4 Hf 2.84, 4 Y 2.84